[1]
The following is a DFT calculation (PBE) of crystalline Ba2SnAu9 at its relaxed geometry.

The space group is R-3m (No. 166, hexagonal axes) and the conventional cell measures 5.8187, 5.8187 and 28.5857 Å, with angles of 90.00, 90.00 and 120.00 degrees. Symmetry generates all atoms from Ba at (0.0000, 0.0000, 0.1368), Sn at (0.0000, 0.0000, 0.0000), Au at (0.0000, 0.0000, 0.3328), Au at (0.0000, 0.0000, 0.5000) and Au at (0.0014, 0.5007, 0.9187).

Its total energy is -122.42 eV for the cell shown. For the size of the total moment, the calculation gives 0.0 Bohr magnetons per cell.

[2]
The following is a DFT calculation (PBE) of crystalline Ba5SnAu2 at its relaxed geometry.

The space group is I4/mcm (No. 140) and the conventional cell measures 9.016, 9.016 and 15.912 Å, with angles of 90.00, 90.00 and 90.00 degrees. Symmetry generates all atoms from Ba at (0.000, 0.000, 0.000), Ba at (0.169, 0.331, 0.141), Sn at (0.000, 0.000, 0.250) and Au at (0.124, 0.376, 0.500).

Its total energy is -99.25 eV for the cell shown. For the size of the total moment, the calculation gives 0.0 Bohr magnetons per cell.

[3]
The following is a DFT calculation (PBE) of crystalline BaSnAu at its relaxed geometry.

The space group is P-6m2 (No. 187) and the conventional cell measures 4.8919, 4.8919 and 4.6206 Å, with angles of 90.00, 90.00 and 120.00 degrees. Symmetry generates all atoms from Ba at (0.0000, 0.0000, 0.0000), Sn at (0.6667, 0.3333, 0.5000) and Au at (0.3333, 0.6667, 0.5000).

Its total energy is -11.30 eV for the cell shown. For the size of the total moment, the calculation gives 0.0 Bohr magnetons per cell.

[4]
The following is a DFT calculation (PBE) of crystalline BaSn2Au4 at its relaxed geometry.

The space group is I4/mmm (No. 139) and the conventional cell measures 8.212, 8.212 and 6.417 Å, with angles of 90.00, 90.00 and 90.00 degrees. Symmetry generates all atoms from Ba at (0.000, 0.000, 0.000), Sn at (0.000, 0.500, 0.250) and Au at (0.000, 0.234, 0.500).

The value obtained for the energy above the lowest structure with this stoichiometry is 15.9 kJ/mol of atoms. Its total energy is -49.48 eV for the cell shown. For the size of the total moment, the calculation gives 0.0 Bohr magnetons per cell.

[5]
The following is a DFT calculation (PBE) of crystalline BaTa2SnAu at its relaxed geometry.

The space group is P4/mmm (No. 123) and the conventional cell measures 5.198, 5.198 and 5.535 Å, with angles of 90.00, 90.00 and 90.00 degrees. Symmetry generates all atoms from Ba at (0.000, 0.000, 0.000), Ta at (0.000, 0.500, 0.500), Sn at (0.500, 0.500, 0.000) and Au at (0.500, 0.500, 0.500).

Its total energy is -27.06 eV for the cell shown. For the size of the total moment, the calculation gives 3.1 Bohr magnetons per cell.

[6]
The following is a DFT calculation (PBE) of crystalline BaTcSn2Au at its relaxed geometry.

The space group is P4/mmm (No. 123) and the conventional cell measures 5.324, 5.324 and 5.979 Å, with angles of 90.00, 90.00 and 90.00 degrees. Symmetry generates all atoms from Ba at (0.000, 0.000, 0.000), Tc at (0.500, 0.500, 0.000), Sn at (0.000, 0.500, 0.500) and Au at (0.000, 0.000, 0.500).

Its total energy is -19.56 eV for the cell shown. For the size of the total moment, the calculation gives 3.3 Bohr magnetons per cell.

[7]
The following is a DFT calculation (PBE) of crystalline BaSnTe3Au at its relaxed geometry.

The space group is P2_1/m (No. 11) and the conventional cell measures 9.438, 4.528 and 9.893 Å, with angles of 90.00, 103.00 and 90.00 degrees. Symmetry generates all atoms from Ba at (0.168, 0.250, 0.244), Sn at (0.346, 0.750, 0.867), Te at (0.120, 0.250, 0.875), Te at (0.242, 0.750, 0.541), Te at (0.438, 0.750, 0.181) and Au at (0.075, 0.250, 0.573).

Its total energy is -45.15 eV for the cell shown. For the size of the total moment, the calculation gives 0.0 Bohr magnetons per cell. The calculation puts the raw formation energy at -3.95 eV per formula unit.

[8]
The following is a DFT calculation (PBE) of crystalline BaThSn2Au2 at its relaxed geometry.

The space group is P-3m1 (No. 164) and the conventional cell measures 4.7992, 4.7992 and 8.7488 Å, with angles of 90.00, 90.00 and 120.00 degrees. Symmetry generates all atoms from Ba at (0.0000, 0.0000, 0.0000), Th at (0.0000, 0.0000, 0.5000), Sn at (0.3333, 0.6667, 0.7263) and Au at (0.3333, 0.6667, 0.3115).

Its total energy is -28.19 eV for the cell shown. For the size of the total moment, the calculation gives 0.0 Bohr magnetons per cell.

[9]
The following is a DFT calculation (PBE) of crystalline Ba2Tl4SnAu3 at its relaxed geometry.

The space group is P-4m2 (No. 115) and the conventional cell measures 4.888, 4.888 and 12.404 Å, with angles of 90.00, 90.00 and 90.00 degrees. Symmetry generates all atoms from Ba at (0.000, 0.500, 0.249), Tl at (0.000, 0.000, 0.500), Tl at (0.000, 0.500, 0.861), Tl at (0.500, 0.500, 0.500), Sn at (0.500, 0.500, 0.000), Au at (0.000, 0.000, 0.000) and Au at (0.000, 0.500, 0.634).

Its total energy is -30.75 eV for the cell shown. For the size of the total moment, the calculation gives 0.0 Bohr magnetons per cell.

[10]
The following is a DFT calculation (PBE) of crystalline Ba2TlSnAu6 at its relaxed geometry.

The space group is Fm-3m (No. 225) and the conventional cell measures 10.711, 10.711 and 10.711 Å, with angles of 90.00, 90.00 and 90.00 degrees. Symmetry generates all atoms from Ba at (0.250, 0.250, 0.250), Tl at (0.000, 0.000, 0.000), Sn at (0.000, 0.000, 0.500) and Au at (0.000, 0.000, 0.253).

Its total energy is -130.87 eV for the cell shown. For the size of the total moment, the calculation gives 0.0 Bohr magnetons per cell.

[11]
The following is a DFT calculation (PBE) of crystalline Ba2TlSn3Au4 at its relaxed geometry.

The space group is P-4m2 (No. 115) and the conventional cell measures 4.913, 4.913 and 11.390 Å, with angles of 90.00, 90.00 and 90.00 degrees. Symmetry generates all atoms from Ba at (0.000, 0.500, 0.241), Tl at (0.000, 0.000, 0.500), Sn at (0.000, 0.500, 0.879), Sn at (0.500, 0.500, 0.500), Au at (0.000, 0.000, 0.000), Au at (0.000, 0.500, 0.638) and Au at (0.500, 0.500, 0.000).

Its total energy is -36.86 eV for the cell shown. For the size of the total moment, the calculation gives 0.0 Bohr magnetons per cell.

[12]
The following is a DFT calculation (PBE) of crystalline BaTlSnAu at its relaxed geometry.

The space group is F-43m (No. 216) and the conventional cell measures 7.774, 7.774 and 7.774 Å, with angles of 90.00, 90.00 and 90.00 degrees. Symmetry generates all atoms from Ba at (0.000, 0.000, 0.000), Tl at (0.250, 0.250, 0.250), Sn at (0.000, 0.000, 0.500) and Au at (0.250, 0.250, 0.750).

Its total energy is -52.20 eV for the cell shown. For the size of the total moment, the calculation gives 0.0 Bohr magnetons per cell.

[13]
The following is a DFT calculation (PBE) of crystalline Ba2TlSn4Au3 at its relaxed geometry.

The space group is P-4m2 (No. 115) and the conventional cell measures 4.924, 4.924 and 11.654 Å, with angles of 90.00, 90.00 and 90.00 degrees. Symmetry generates all atoms from Ba at (0.000, 0.500, 0.250), Tl at (0.000, 0.000, 0.500), Sn at (0.000, 0.000, 0.000), Sn at (0.000, 0.500, 0.641), Sn at (0.500, 0.500, 0.000), Au at (0.000, 0.500, 0.875) and Au at (0.500, 0.500, 0.500).

Its total energy is -37.31 eV for the cell shown. For the size of the total moment, the calculation gives 0.0 Bohr magnetons per cell.

[14]
The following is a DFT calculation (PBE) of crystalline Ba2TmSn3Au4 at its relaxed geometry.

The space group is P-4m2 (No. 115) and the conventional cell measures 4.816, 4.816 and 11.809 Å, with angles of 90.00, 90.00 and 90.00 degrees. Symmetry generates all atoms from Ba at (0.000, 0.500, 0.231), Tm at (0.000, 0.000, 0.500), Sn at (0.000, 0.500, 0.875), Sn at (0.500, 0.500, 0.500), Au at (0.000, 0.000, 0.000), Au at (0.000, 0.500, 0.640) and Au at (0.500, 0.500, 0.000).

Its total energy is -39.96 eV for the cell shown. For the size of the total moment, the calculation gives 0.0 Bohr magnetons per cell.

[15]
The following is a DFT calculation (PBE) of crystalline BaZnSnAu6 at its relaxed geometry.

The space group is Imma (No. 74) and the conventional cell measures 7.136, 8.872 and 14.989 Å, with angles of 90.00, 90.00 and 90.00 degrees. Symmetry generates all atoms from Ba at (0.000, 0.250, 0.088), Zn at (0.250, 0.250, 0.750), Sn at (0.000, 0.000, 0.500), Au at (0.000, 0.250, 0.372), Au at (0.000, 0.250, 0.872) and Au at (0.213, 0.016, 0.654).

Its total energy is -112.99 eV for the cell shown. For the size of the total moment, the calculation gives 0.0 Bohr magnetons per cell.

[16]
The following is a DFT calculation (PBE) of crystalline BaZnSn2Au at its relaxed geometry.

The space group is I-4m2 (No. 119) and the conventional cell measures 4.866, 4.866 and 11.422 Å, with angles of 90.00, 90.00 and 90.00 degrees. Symmetry generates all atoms from Ba at (0.000, 0.000, 0.000), Zn at (0.000, 0.500, 0.750), Sn at (0.000, 0.000, 0.372) and Au at (0.000, 0.500, 0.250).

Its total energy is -33.82 eV for the cell shown. For the size of the total moment, the calculation gives 0.0 Bohr magnetons per cell.

[17]
The following is a DFT calculation (PBE) of crystalline Ba2ZnSn3Au4 at its relaxed geometry.

The space group is P-4m2 (No. 115) and the conventional cell measures 4.897, 4.897 and 10.918 Å, with angles of 90.00, 90.00 and 90.00 degrees. Symmetry generates all atoms from Ba at (0.000, 0.500, 0.248), Zn at (0.000, 0.000, 0.500), Sn at (0.000, 0.500, 0.872), Sn at (0.500, 0.500, 0.500), Au at (0.000, 0.000, 0.000), Au at (0.000, 0.500, 0.617) and Au at (0.500, 0.500, 0.000).

Its total energy is -35.96 eV for the cell shown. For the size of the total moment, the calculation gives 0.0 Bohr magnetons per cell.

[18]
The following is a DFT calculation (PBE) of crystalline BaZnSn6Au2 at its relaxed geometry.

The space group is R-3 (No. 148, hexagonal axes) and the conventional cell measures 6.5900, 6.5900 and 25.7946 Å, with angles of 90.00, 90.00 and 120.00 degrees. Symmetry generates all atoms from Ba at (0.0000, 0.0000, 0.0000), Zn at (0.0000, 0.0000, 0.5000), Sn at (0.0186, 0.7268, 0.8814) and Au at (0.0000, 0.0000, 0.2773).

Its total energy is -101.77 eV for the cell shown. For the size of the total moment, the calculation gives 0.0 Bohr magnetons per cell.

[19]
The following is a DFT calculation (PBE) of crystalline Ba2ZnSnAu6 at its relaxed geometry.

The space group is P-1 (No. 2) and the conventional cell measures 6.387, 7.141 and 7.362 Å, with angles of 72.60, 64.40 and 63.58 degrees. Symmetry generates all atoms from Ba at (0.247, 0.301, 0.201), Zn at (0.500, 0.500, 0.500), Sn at (0.000, 0.000, 0.000), Au at (0.235, 0.773, 0.280), Au at (0.257, 0.874, 0.617) and Au at (0.286, 0.229, 0.721).

Its total energy is -33.60 eV for the cell shown. For the size of the total moment, the calculation gives 0.0 Bohr magnetons per cell.

[20]
The following is a DFT calculation (PBE) of crystalline Ba2Zn4SnAu3 at its relaxed geometry.

The space group is P-4m2 (No. 115) and the conventional cell measures 4.614, 4.614 and 11.251 Å, with angles of 90.00, 90.00 and 90.00 degrees. Symmetry generates all atoms from Ba at (0.000, 0.500, 0.244), Zn at (0.000, 0.000, 0.000), Zn at (0.000, 0.500, 0.640), Zn at (0.500, 0.500, 0.000), Sn at (0.000, 0.000, 0.500), Au at (0.000, 0.500, 0.877) and Au at (0.500, 0.500, 0.500).

Its total energy is -27.44 eV for the cell shown. For the size of the total moment, the calculation gives 0.0 Bohr magnetons per cell.